KTl3 | PBE-GGA | relaxed

Volume = 33.72 Å³/atom
DFT total energy = -2.094 eV/atom
Energy of formation = -4.3 kJ per mole of atoms
Density of states at the Fermi level = 0.55 states/eV per atom

The structure in CIF format:
```
data_KTl3
_chemical_formula_sum 'K2 Tl6'
_symmetry_space_group_name_H-M 'I m m m'
_symmetry_Int_Tables_number 71
_symmetry_space_group_name_Hall '-I 2 2'
_cell_length_a 4.2310
_cell_length_b 5.7499
_cell_length_c 11.0887
_cell_angle_alpha 90.00
_cell_angle_beta 90.00
_cell_angle_gamma 90.00
loop_
_atom_site_label
_atom_site_fract_x
_atom_site_fract_y
_atom_site_fract_z
K1 0.0000 0.0000 0.0000
Tl1 0.0000 0.0000 0.5000
Tl2 0.0000 0.5000 0.2324
```